DFT (PBE+U) results for a relaxed LaMgCoO2 crystal.

Cell: 3.873 3.873 5.851 Å, 90.00 90.00 90.00°
Each line ends with the local moment (μB).
Fractional coordinates of all 5 atoms:
Mg 0.000 0.000 0.000  0.00
Co 0.500 0.500 0.500  1.23
O 0.000 0.500 0.000  -0.04
O 0.500 0.000 0.000  -0.04
La 0.000 0.000 0.500  -0.16

Calculated total energy in eV/atom: -4.54
Fermi-level density of states in states/eV per cell: 3.5
Total magnetic moment in μB per formula unit: 0.94